This record from OQMD describes AgB2Te after structural relaxation. The functional is PBE.

crystal system = cubic
total energy = -48.19 eV for the cell shown

Cell lengths 6.400, 6.400, 6.400 Å; angles 90.00, 90.00, 90.00 degrees
Space group F-43m (No. 216)
Inequivalent atoms, fractional coordinates:
Ag (0.000, 0.000, 0.000)
B (0.000, 0.000, 0.500)
B (0.250, 0.250, 0.250)
Te (0.250, 0.250, 0.750)